The following is a GGA+U calculation of a geometry-optimized NiCOF2 structure, from Alexandria.

Cell: 4.254 4.254 2.769 Å, 90.00 90.00 90.00°
Fractional positions:
Ni: 0.000 0.000 0.000
C: 0.500 0.500 0.500
O: 0.500 0.500 0.000
F: 0.000 0.500 0.500
F: 0.500 0.000 0.500

## Properties
* energy: -3.948 eV/atom
* size of the total moment: 1.09 Bohr magnetons per cell
* offset from the most stable computed form: 0.000 eV/atom